This record from Alexandria via LeMat-Bulk describes crystalline Sr2La2MgRuO8 at its relaxed geometry. The functional is PBE.

Output
E_form (uncorrected) in meV per atom: -2629
Symmetry: No. 12
V in A^3/atom: 14.02
Relative energy among the computed polymorphs in meV/atom: 0

abc: 6.9455 6.9455 15.7793
angles: 106.66 106.66 32.72
With the nearest neighbours (Å) after each atom.
Fractional positions:
1 Sr 0.1442 0.1442 0.2824  4 O 2.45-2.70
2 Sr 0.1471 0.1471 0.5360  1 O 2.41
3 Sr 0.8529 0.8529 0.4640  1 O 2.41
4 Sr 0.8558 0.8558 0.7176  4 O 2.45-2.70
5 La 0.1367 0.1367 0.0362  4 O 2.34-2.62
6 La 0.1413 0.1413 0.7930  2 O 2.32-2.54
7 La 0.8587 0.8587 0.2070  2 O 2.32-2.54
8 La 0.8633 0.8633 0.9638  4 O 2.34-2.62
9 Mg 0.4969 0.4969 0.8746  4 O 1.96-2.00
10 Mg 0.5031 0.5031 0.1254  4 O 1.96-2.00
11 Ru 0.5000 0.5000 0.3750  6 O 1.95-2.09
12 Ru 0.5000 0.5000 0.6250  6 O 1.95-2.09
13 O 0.0027 0.0027 0.6268  2 Ru 1.96
14 O 0.0055 0.0055 0.8763  2 Mg 1.96
15 O 0.3208 0.3208 0.0849  1 Mg 2.32, 1 La 2.34
16 O 0.3236 0.3236 0.8405  1 Mg 2.21, 1 La 2.32
17 O 0.3363 0.3363 0.3251  1 Ru 2.09
18 O 0.3364 0.3364 0.5829  1 Ru 2.08
19 O 0.4994 0.4994 0.7486  1 Ru 1.95, 1 Mg 2.00
20 O 0.5000 0.5000 0.0000  2 Mg 1.97
21 O 0.5000 0.5000 0.5000  2 Ru 1.97
22 O 0.5006 0.5006 0.2514  1 Ru 1.95, 1 Mg 2.00
23 O 0.6636 0.6636 0.4171  1 Ru 2.08
24 O 0.6637 0.6637 0.6749  1 Ru 2.09
25 O 0.6764 0.6764 0.1595  1 Mg 2.21, 1 La 2.32
26 O 0.6792 0.6792 0.9151  1 Mg 2.32, 1 La 2.34
27 O 0.9945 0.9945 0.1237  2 Mg 1.96
28 O 0.9973 0.9973 0.3732  2 Ru 1.96